# 1
A relaxed Ca3Ac8Pr3 crystal, computed with PBE.

Formation enthalpy at 0 K ... 36 kJ/mol of atoms

```
data_Ca3Ac8Pr3
_chemical_formula_sum 'Ca6 Ac16 Pr6'
_space_group_name_H-M_alt 'C 1 2/m 1'
_space_group_IT_number 12
_cell_length_a 18.3213
_cell_length_b 10.2042
_cell_length_c 6.9524
_cell_angle_alpha 90.00
_cell_angle_beta 93.98
_cell_angle_gamma 90.00
loop_
_space_group_symop_operation_xyz
'x,y,z'
'-x,-y,-z'
'-x,y,-z'
'x,-y,z'
'x+1/2,y+1/2,z'
'-x+1/2,-y+1/2,-z'
'-x+1/2,y+1/2,-z'
'x+1/2,-y+1/2,z'
loop_
_atom_site_label
_atom_site_type_symbol
_atom_site_fract_x
_atom_site_fract_y
_atom_site_fract_z
_atom_site_occupancy
Ca1 Ca 0.0000 0.0000 0.0000 1
Ca2 Ca 0.0000 0.1657 0.5000 1
Ac1 Ac 0.1512 0.3350 0.3361 1
Ac2 Ac 0.1619 0.2133 0.8440 1
Pr1 Pr 0.0000 0.5000 0.0000 1
Pr2 Pr 0.1968 0.0000 0.3411 1
```

***

# 2
A relaxed CaAcPr6 crystal, computed with PBE.

Formation enthalpy at 0 K ... 4 kJ/mol of atoms

```
data_CaAcPr6
_chemical_formula_sum 'Ca1 Ac1 Pr6'
_space_group_name_H-M_alt 'P 4/m m m'
_space_group_IT_number 123
_space_group_name_Hall '-P 4 2'
_cell_length_a 5.3451
_cell_length_b 5.3451
_cell_length_c 10.5586
_cell_angle_alpha 90.00
_cell_angle_beta 90.00
_cell_angle_gamma 90.00
loop_
_atom_site_label
_atom_site_type_symbol
_atom_site_fract_x
_atom_site_fract_y
_atom_site_fract_z
_atom_site_occupancy
Ca1 Ca 0.0000 0.0000 0.0000 1
Ac1 Ac 0.0000 0.0000 0.5000 1
Pr1 Pr 0.0000 0.5000 0.2510 1
Pr2 Pr 0.5000 0.5000 0.0000 1
Pr3 Pr 0.5000 0.5000 0.5000 1
```

***

# 3
A relaxed CaAc4Pr5 crystal, computed with PBE.

Distance to the lowest polymorph of the same formula ... 0.49 eV/f.u.
Formation enthalpy at 0 K ... 8 kJ/mol of atoms

```
data_CaAc4Pr5
_chemical_formula_sum 'Ca2 Ac8 Pr10'
_space_group_name_H-M_alt 'C 1 2/m 1'
_space_group_IT_number 12
_cell_length_a 17.7150
_cell_length_b 6.1893
_cell_length_c 7.4745
_cell_angle_alpha 90.00
_cell_angle_beta 102.11
_cell_angle_gamma 90.00
loop_
_space_group_symop_operation_xyz
'x,y,z'
'-x,-y,-z'
'-x,y,-z'
'x,-y,z'
'x+1/2,y+1/2,z'
'-x+1/2,-y+1/2,-z'
'-x+1/2,y+1/2,-z'
'x+1/2,-y+1/2,z'
loop_
_atom_site_label
_atom_site_type_symbol
_atom_site_fract_x
_atom_site_fract_y
_atom_site_fract_z
_atom_site_occupancy
Ca1 Ca 0.0000 0.0000 0.0000 1
Ac1 Ac 0.1046 0.5000 0.4106 1
Ac2 Ac 0.1990 0.0000 0.7376 1
Pr1 Pr 0.0000 0.0000 0.5000 1
Pr2 Pr 0.1071 0.5000 0.9110 1
Pr3 Pr 0.1965 0.0000 0.2334 1
```

***

# 4
A relaxed CaAcPr4 crystal, computed with PBE.

Distance to the lowest polymorph of the same formula ... 0.00 eV/f.u.
Formation enthalpy at 0 K ... 5 kJ/mol of atoms

```
data_CaAcPr4
_chemical_formula_sum 'Ca1 Ac1 Pr4'
_space_group_name_H-M_alt 'P 1 2/m 1'
_space_group_IT_number 10
_cell_length_a 3.7759
_cell_length_b 5.3714
_cell_length_c 11.3398
_cell_angle_alpha 90.00
_cell_angle_beta 90.06
_cell_angle_gamma 90.00
loop_
_space_group_symop_operation_xyz
'x,y,z'
'-x,-y,-z'
'-x,y,-z'
'x,-y,z'
loop_
_atom_site_label
_atom_site_type_symbol
_atom_site_fract_x
_atom_site_fract_y
_atom_site_fract_z
_atom_site_occupancy
Ca1 Ca 0.0000 0.0000 0.0000 1
Ac1 Ac 0.5000 0.5000 0.5000 1
Pr1 Pr 0.9998 0.0000 0.3312 1
Pr2 Pr 0.4996 0.5000 0.1722 1
```